DFT (GGA-PBE) results for crystalline AlTeCl at its relaxed geometry.

a = 3.880 Å, b = 3.880 Å, c = 7.081 Å
α = 90.00°, β = 90.00°, γ = 120.00°
Fractional positions:
Al1 0.000 0.000 0.000
Te1 0.667 0.333 0.800
Cl1 0.333 0.667 0.216

Output
- Calculated density: 3.4 g/cm³
- Uncorrected formation energy: -2.13 eV/f.u.
- Volume: 30.8 Å³ per atom
- Uncorrected energy: -3.621 eV per atom

***

DFT (GGA-PBE) results for crystalline Al3TeCl at its relaxed geometry.

a = 5.740 Å, b = 5.740 Å, c = 5.740 Å
α = 90.00°, β = 90.00°, γ = 90.00°
Fractional positions:
Al1 0.000 0.000 0.500
Al2 0.000 0.500 0.000
Al3 0.500 0.000 0.000
Te1 0.000 0.000 0.000
Cl1 0.500 0.500 0.500

Output
- N(E_F): 0.580 states/eV per atom
- Calculated density: 2.1 g/cm³
- Uncorrected formation energy: 3.37 eV/f.u.
- Volume: 37.8 Å³ per atom
- Distance to the lowest polymorph of the same formula: 232 meV per atom
- Uncorrected energy: -2.570 eV per atom

***

DFT (GGA-PBE) results for crystalline Al3TeCl at its relaxed geometry.

a = 5.263 Å, b = 5.263 Å, c = 5.263 Å
α = 90.00°, β = 90.00°, γ = 90.00°
Fractional positions:
Al1 0.000 0.000 0.500
Al2 0.000 0.500 0.000
Al3 0.500 0.000 0.000
Te1 0.500 0.500 0.500
Cl1 0.000 0.000 0.000

Output
- N(E_F): 0.148 states/eV per atom
- Calculated density: 2.8 g/cm³
- Uncorrected formation energy: 2.20 eV/f.u.
- Volume: 29.1 Å³ per atom
- Distance to the lowest polymorph of the same formula: 0 meV per atom
- Uncorrected energy: -2.802 eV per atom

***

DFT (GGA-PBE) results for crystalline AlTeCl2 at its relaxed geometry.

a = 5.602 Å, b = 5.602 Å, c = 4.636 Å
α = 113.14°, β = 113.14°, γ = 110.25°
Fractional positions:
Al1 0.000 0.000 0.000
Te1 0.500 0.500 0.000
Cl1 0.000 0.500 0.500
Cl2 0.500 0.000 0.500

Output
- N(E_F): 0.675 states/eV per atom
- Calculated density: 3.8 g/cm³
- Uncorrected formation energy: -0.62 eV/f.u.
- Volume: 24.8 Å³ per atom
- Distance to the lowest polymorph of the same formula: 745 meV per atom
- Uncorrected energy: -2.799 eV per atom

***

Repeat the fourth record exactly.
DFT (GGA-PBE) results for crystalline AlTeCl2 at its relaxed geometry.

a = 5.602 Å, b = 5.602 Å, c = 4.636 Å
α = 113.14°, β = 113.14°, γ = 110.25°
Fractional positions:
Al1 0.000 0.000 0.000
Te1 0.500 0.500 0.000
Cl1 0.000 0.500 0.500
Cl2 0.500 0.000 0.500

Output
- N(E_F): 0.675 states/eV per atom
- Calculated density: 3.8 g/cm³
- Uncorrected formation energy: -0.62 eV/f.u.
- Volume: 24.8 Å³ per atom
- Distance to the lowest polymorph of the same formula: 745 meV per atom
- Uncorrected energy: -2.799 eV per atom

***

What is the volume in the fourth record? 24.8 Å³ per atom